[1]
# Cd2ReSi, relaxed, DFT PBE
data_Cd2ReSi
_symmetry_space_group_name_H-M 'I m m 2'
_symmetry_Int_Tables_number 44
_symmetry_space_group_name_Hall 'I 2 -2'
_cell_length_a 3.3577
_cell_length_b 4.6274
_cell_length_c 9.2830
_cell_angle_alpha 90.00
_cell_angle_beta 90.00
_cell_angle_gamma 90.00
loop_
_atom_site_label
_atom_site_type_symbol
_atom_site_fract_x
_atom_site_fract_y
_atom_site_fract_z
Cd1 Cd 0.0000 0.0000 0.0000
Cd2 Cd 0.0000 0.5000 0.2223
Re1 Re 0.0000 0.5000 0.7695
Si1 Si 0.0000 0.0000 0.4516
# formation energy (no corrections)	0.46	eV per atom

***

[2]
CaAgAu4: relaxed, PBE.

Geometry as CIF:
```
data_CaAgAu4
_symmetry_space_group_name_H-M 'F -4 3 m'
_symmetry_Int_Tables_number 216
_symmetry_space_group_name_Hall 'F -4 2 3'
_cell_length_a 7.8898
_cell_length_b 7.8898
_cell_length_c 7.8898
_cell_angle_alpha 90.00
_cell_angle_beta 90.00
_cell_angle_gamma 90.00
loop_
_atom_site_label
_atom_site_type_symbol
_atom_site_fract_x
_atom_site_fract_y
_atom_site_fract_z
Ca1 Ca 0.0000 0.0000 0.0000
Ag1 Ag 0.2500 0.2500 0.7500
Au1 Au 0.1247 0.1247 0.3753
```

***

[3]
CeGa5Ir2Pd: relaxed, PBE.

Geometry as CIF:
```
data_CeGa5Ir2Pd
_symmetry_space_group_name_H-M 'P 4/m m m'
_symmetry_Int_Tables_number 123
_symmetry_space_group_name_Hall '-P 4 2'
_cell_length_a 4.8204
_cell_length_b 4.8204
_cell_length_c 7.6965
_cell_angle_alpha 90.00
_cell_angle_beta 90.00
_cell_angle_gamma 90.00
loop_
_atom_site_label
_atom_site_type_symbol
_atom_site_fract_x
_atom_site_fract_y
_atom_site_fract_z
Ce1 Ce 0.0000 0.0000 0.0000
Ga1 Ga 0.0000 0.5000 0.3188
Ga2 Ga 0.5000 0.5000 0.0000
Ir1 Ir 0.5000 0.5000 0.2993
Pd1 Pd 0.0000 0.0000 0.5000
```

***

[4]
Tl6Sn5Pb: relaxed, PBE.

Geometry as CIF:
```
data_Tl6Sn5Pb
_symmetry_space_group_name_H-M 'C 1 2/m 1'
_symmetry_Int_Tables_number 12
_symmetry_space_group_name_Hall '-C 2y'
_cell_length_a 11.2796
_cell_length_b 10.2759
_cell_length_c 6.1353
_cell_angle_alpha 90.00
_cell_angle_beta 94.86
_cell_angle_gamma 90.00
loop_
_atom_site_label
_atom_site_type_symbol
_atom_site_fract_x
_atom_site_fract_y
_atom_site_fract_z
Tl1 Tl 0.2484 0.0000 0.2542
Tl2 Tl 0.2491 0.1675 0.7501
Sn1 Sn 0.0000 0.0000 0.5000
Sn2 Sn 0.0000 0.1610 0.0000
Sn3 Sn 0.0000 0.3286 0.5000
Pb1 Pb 0.0000 0.5000 0.0000
```

***

[5]
CeYMgHg: relaxed, PBE.

Geometry as CIF:
```
data_CeYMgHg
_symmetry_space_group_name_H-M 'F -4 3 m'
_symmetry_Int_Tables_number 216
_symmetry_space_group_name_Hall 'F -4 2 3'
_cell_length_a 7.5938
_cell_length_b 7.5938
_cell_length_c 7.5938
_cell_angle_alpha 90.00
_cell_angle_beta 90.00
_cell_angle_gamma 90.00
loop_
_atom_site_label
_atom_site_type_symbol
_atom_site_fract_x
_atom_site_fract_y
_atom_site_fract_z
Ce1 Ce 0.0000 0.0000 0.0000
Y1 Y 0.0000 0.0000 0.5000
Mg1 Mg 0.2500 0.2500 0.2500
Hg1 Hg 0.2500 0.2500 0.7500
```

***

[6]
Hf2ScCo: relaxed, PBE.

Geometry as CIF:
```
data_Hf2ScCo
_symmetry_space_group_name_H-M 'P n m a'
_symmetry_Int_Tables_number 62
_symmetry_space_group_name_Hall '-P 2ac 2n'
_cell_length_a 6.1864
_cell_length_b 8.8970
_cell_length_c 5.7303
_cell_angle_alpha 90.00
_cell_angle_beta 90.00
_cell_angle_gamma 90.00
loop_
_atom_site_label
_atom_site_type_symbol
_atom_site_fract_x
_atom_site_fract_y
_atom_site_fract_z
Hf1 Hf 0.1759 0.0611 0.1754
Sc1 Sc 0.0279 0.2500 0.6409
Co1 Co 0.1135 0.7500 0.9242
```

***

[7]
# Y2TlCl, relaxed, DFT PBE
data_Y2TlCl
_symmetry_space_group_name_H-M 'C m m m'
_symmetry_Int_Tables_number 65
_symmetry_space_group_name_Hall '-C 2 2'
_cell_length_a 3.7061
_cell_length_b 6.1805
_cell_length_c 9.6010
_cell_angle_alpha 90.00
_cell_angle_beta 90.00
_cell_angle_gamma 90.00
loop_
_atom_site_label
_atom_site_type_symbol
_atom_site_fract_x
_atom_site_fract_y
_atom_site_fract_z
Y1 Y 0.0000 0.0000 0.2376
Tl1 Tl 0.0000 0.5000 0.5000
Cl1 Cl 0.0000 0.5000 0.0000
# formation energy (no corrections)	-0.67	eV per atom

***

[8]
# Na4TaSe4, relaxed, DFT PBE
data_Na4TaSe4
_symmetry_space_group_name_H-M 'I -4 2 m'
_symmetry_Int_Tables_number 121
_symmetry_space_group_name_Hall 'I -4 2'
_cell_length_a 7.1058
_cell_length_b 7.1058
_cell_length_c 11.2165
_cell_angle_alpha 90.00
_cell_angle_beta 90.00
_cell_angle_gamma 90.00
loop_
_atom_site_label
_atom_site_type_symbol
_atom_site_fract_x
_atom_site_fract_y
_atom_site_fract_z
Na1 Na 0.0000 0.0000 0.1869
Na2 Na 0.0000 0.5000 0.0000
Ta1 Ta 0.0000 0.0000 0.5000
Se1 Se 0.2043 0.2043 0.6217
# formation energy (no corrections)	-0.88	eV per atom

***

[9]
# InTcTeAu2, relaxed, DFT PBE
data_InTcTeAu2
_symmetry_space_group_name_H-M 'P 4/m m m'
_symmetry_Int_Tables_number 123
_symmetry_space_group_name_Hall '-P 4 2'
_cell_length_a 5.0894
_cell_length_b 5.0894
_cell_length_c 5.9363
_cell_angle_alpha 90.00
_cell_angle_beta 90.00
_cell_angle_gamma 90.00
loop_
_atom_site_label
_atom_site_type_symbol
_atom_site_fract_x
_atom_site_fract_y
_atom_site_fract_z
In1 In 0.0000 0.0000 0.0000
Tc1 Tc 0.5000 0.5000 0.5000
Te1 Te 0.0000 0.0000 0.5000
Au1 Au 0.0000 0.5000 0.0000
# formation energy (no corrections)	1.19	eV per atom

***

[10]
Ca2NdGa: relaxed, PBE.

Geometry as CIF:
```
data_Ca2NdGa
_symmetry_space_group_name_H-M 'R -3 m'
_symmetry_Int_Tables_number 166
_symmetry_space_group_name_Hall '-R 3 2"'
_cell_length_a 3.6084
_cell_length_b 3.6084
_cell_length_c 35.2199
_cell_angle_alpha 90.00
_cell_angle_beta 90.00
_cell_angle_gamma 120.00
loop_
_atom_site_label
_atom_site_type_symbol
_atom_site_fract_x
_atom_site_fract_y
_atom_site_fract_z
Ca1 Ca 0.0000 0.0000 0.1015
Nd1 Nd 0.0000 0.0000 0.0000
Ga1 Ga 0.0000 0.0000 0.5000
```

***

[11]
SrZr3Sc: relaxed, PBE.

Geometry as CIF:
```
data_SrZr3Sc
_symmetry_space_group_name_H-M 'P m -3 m'
_symmetry_Int_Tables_number 221
_symmetry_space_group_name_Hall '-P 4 2 3'
_cell_length_a 5.3012
_cell_length_b 5.3012
_cell_length_c 5.3012
_cell_angle_alpha 90.00
_cell_angle_beta 90.00
_cell_angle_gamma 90.00
loop_
_atom_site_label
_atom_site_type_symbol
_atom_site_fract_x
_atom_site_fract_y
_atom_site_fract_z
Sr1 Sr 0.0000 0.0000 0.0000
Zr1 Zr 0.0000 0.5000 0.5000
Sc1 Sc 0.5000 0.5000 0.5000
```

***

[12]
Dy3Er3Th2: relaxed, PBE.

Geometry as CIF:
```
data_Dy3Er3Th2
_symmetry_space_group_name_H-M 'C 1 2/m 1'
_symmetry_Int_Tables_number 12
_symmetry_space_group_name_Hall '-C 2y'
_cell_length_a 7.1258
_cell_length_b 14.1840
_cell_length_c 6.1171
_cell_angle_alpha 90.00
_cell_angle_beta 125.62
_cell_angle_gamma 90.00
loop_
_atom_site_label
_atom_site_type_symbol
_atom_site_fract_x
_atom_site_fract_y
_atom_site_fract_z
Dy1 Dy 0.0000 0.0000 0.0000
Dy2 Dy 0.0000 0.3722 0.5000
Er1 Er 0.0000 0.1269 0.5000
Er2 Er 0.0000 0.5000 0.0000
Th1 Th 0.0000 0.2506 0.0000
```

***

Number 1: DFT total energy -35.7 eV for the cell shown. Number 2: DFT total energy -81.3 eV for the cell shown. Number 3: DFT total energy -46.8 eV for the cell shown. Number 4: DFT total energy -74.9 eV for the cell shown. Number 5: DFT total energy -60.0 eV for the cell shown. Number 6: DFT total energy -136.8 eV for the cell shown. Number 7: DFT total energy -39.6 eV for the cell shown. Number 8: DFT total energy -78.0 eV for the cell shown. Number 9: DFT total energy -16.9 eV for the cell shown. Number 10: DFT total energy -35.2 eV for the cell shown. Number 11: DFT total energy -29.1 eV for the cell shown. Number 12: DFT total energy -84.1 eV for the cell shown.